## RbLi2SiS4 (PBE-GGA)

Data for a relaxed structure of RbLi2SiS4.

Cell: 6.413 6.413 6.413 Å, 118.32 118.32 92.94°
Each line ends with the local moment (μB).
Atoms (fractional coordinates):
Si 0.000 0.000 0.000  -0.01
S 0.966 0.329 0.000  0.16
S 0.671 0.671 0.637  0.16
S 0.329 0.966 0.000  0.16
S 0.034 0.034 0.363  0.16
Li 0.250 0.750 0.500  0.00
Li 0.750 0.250 0.500  0.00
Rb 0.500 0.500 0.000  0.01

## Properties
The total moment comes out at 0.133 μB/atom. The space group is No. 121. The value obtained for the energy is -34.30 eV per formula unit. The uncorrected formation energy is -0.9471 eV/atom.



## Ca2ZrW (PBE-GGA)

Data for a relaxed structure of Ca2ZrW.

Cell: 3.829 4.566 5.468 Å, 90.00 90.00 90.00°
Atoms (fractional coordinates):
Ca 0.500 0.500 0.000
Ca 0.000 0.000 0.000
Zr 0.000 0.500 0.500
W 0.500 0.000 0.500

## Properties
The total moment comes out at 0.000 μB/atom. Its calculated formation energy is 0.7883 eV per atom. Its excess energy over the best structure of this formula in the dataset is 0.400 eV per atom. The space group is No. 47. The value obtained for the energy is -22.35 eV per formula unit.